A plane-wave DFT calculation with PBE with a Hubbard U was carried out for crystalline Li7Mn2Co3O12 at its relaxed geometry.

POSCAR file:
```
Li7Mn2Co3O12
1.0
4.8724 -4.3302 0.0000
4.8724 4.3302 0.0000
-0.8314 0.0000 4.8871
Li Mn Co O
7 2 3 12
direct
0.0000 0.0000 0.0000
0.0785 0.4130 0.2479
0.2350 0.2473 0.7589
0.4071 0.0789 0.2385
0.5870 0.9215 0.7521
0.7527 0.7650 0.2411
0.9211 0.5929 0.7615
0.1590 0.8410 0.5000
0.6709 0.3291 0.0000
0.3294 0.6706 0.0000
0.4954 0.5046 0.5000
0.8334 0.1666 0.5000
0.0639 0.7118 0.1404
0.1126 0.1155 0.3943
0.2123 0.5635 0.6363
0.2882 0.9361 0.8596
0.3875 0.3897 0.1253
0.4365 0.7877 0.3637
0.5601 0.2192 0.6363
0.6103 0.6125 0.8747
0.7074 0.0679 0.1369
0.7808 0.4399 0.3637
0.8845 0.8874 0.6057
0.9321 0.2926 0.8631
```

For the total DFT energy (no corrections), the calculation gives -141.5 eV for the cell shown. The crystal system is monoclinic. Its calculated volume is 8.6 Å³ per atom.